Record 1
Here is BaScAl2 at its PBEsol-relaxed geometry from the Alexandria database. Energies are from meta-GGA SCAN.

Cell: 3.382 5.455 5.455 Å, 90.00 90.00 90.00°
Sites, in units of the cell vectors:
Al 0.000 0.500 0.000
Al 0.000 0.000 0.500
Ba 0.500 0.500 0.500
Sc 0.500 0.000 0.000

raw total energy = -68.783 eV per cell
energy above the most stable polymorph in this dataset = 0.87 eV/f.u.
magnetic moment = 0.00 μB/f.u.
energy relative to the elements = 0.127 eV/atom

=====

Record 2
Here is Ba2ScAl at its PBEsol-relaxed geometry from the Alexandria database. Energies are from meta-GGA SCAN.

Cell: 4.989 4.989 6.259 Å, 113.49 113.49 90.00°
Sites, in units of the cell vectors:
Ba 0.250 0.750 0.500
Ba 0.750 0.250 0.500
Sc 0.000 0.000 0.000
Al 0.500 0.500 0.000

raw total energy = -100.106 eV per cell
magnetic moment = 0.00 μB/f.u.
energy relative to the elements = 0.246 eV/atom

=====

Record 3
Here is BaAl2Se at its PBEsol-relaxed geometry from the Alexandria database. Energies are from meta-GGA SCAN.

Cell: 4.445 4.649 6.184 Å, 112.08 111.07 90.00°
Sites, in units of the cell vectors:
Ba 0.532 0.532 0.064
Al 0.770 0.270 0.540
Al 0.917 0.917 0.833
Se 0.281 0.781 0.562

raw total energy = -76.736 eV per cell
magnetic moment = 0.00 μB/f.u.
formation energy from raw total energies = -0.40 eV per atom

=====

Record 4
Here is Ba2AlSe at its PBEsol-relaxed geometry from the Alexandria database. Energies are from meta-GGA SCAN.

Cell: 3.933 5.725 5.725 Å, 99.19 90.00 90.00°
Sites, in units of the cell vectors:
Ba 0.000 0.000 0.500
Ba 0.000 0.500 0.000
Al 0.500 0.500 0.500
Se 0.500 0.000 0.000

raw total energy = -110.404 eV per cell
magnetic moment = 0.00 μB/f.u.
formation energy from raw total energies = -0.87 eV per atom

=====

Record 5
Here is BaAl2Se at its PBEsol-relaxed geometry from the Alexandria database. Energies are from meta-GGA SCAN.

Cell: 4.567 4.949 5.042 Å, 90.00 90.00 97.61°
Sites, in units of the cell vectors:
Ba 0.000 0.500 0.500
Se 0.500 0.000 0.500
Al 0.279 0.137 0.000
Al 0.721 0.863 0.000

raw total energy = -77.008 eV per cell
magnetic moment = 0.00 μB/f.u.
formation energy from raw total energies = -0.47 eV per atom

=====

Record 6
Here is Ba3AlSe at its PBEsol-relaxed geometry from the Alexandria database. Energies are from meta-GGA SCAN.

Cell: 6.144 6.144 6.144 Å, 90.00 90.00 90.00°
Sites, in units of the cell vectors:
Ba 0.000 0.000 0.500
Ba 0.500 0.000 0.000
Ba 0.000 0.500 0.000
Al 0.500 0.500 0.500
Se 0.000 0.000 0.000

raw total energy = -149.943 eV per cell
magnetic moment = 1.03 μB/f.u.
formation energy from raw total energies = -0.69 eV per atom